Pm6Ru2RhI3 | PBE | relaxed

Cell and atoms, written as extended XYZ:
```
12
Lattice="3.5811 -6.2027 0.0000 3.5811 6.2027 0.0000 -2.3882 0.0000 8.1210" Properties=species:S:1:pos:R:3 pbc="T T T"
Pm -0.0191 2.1003 6.6160
Pm 1.1570 0.0000 1.5047
Pm -0.0191 -2.1003 6.6160
Pm 4.7931 2.1003 1.5050
Pm 3.6171 0.0000 6.6162
Pm 4.7931 -2.1003 1.5050
Ru 3.5811 4.1369 0.0000
Ru 3.5811 -4.1369 0.0000
Rh 3.5811 0.0000 0.0000
I -1.1941 0.0000 4.0605
I 2.3870 2.0738 4.0605
I 2.3870 -2.0738 4.0605
```

As for the space group: C2/m (12). As for the total DFT energy (no corrections): -5.660 eV per atom. For the uncorrected formation energy, the calculation gives -0.74 eV per atom. The density of states at the Fermi level is 6.42 states/eV per cell.

---

Tl4Bi2Pb3 | PBE | relaxed

Cell and atoms, written as extended XYZ:
```
9
Lattice="8.0707 -1.7419 0.0000 8.0707 1.7419 0.0000 -2.6052 0.0000 10.1610" Properties=species:S:1:pos:R:3 pbc="T T T"
Tl -0.8365 0.0000 3.4054
Tl 5.0854 0.0000 1.1512
Tl 8.4508 0.0000 9.0098
Tl 14.3727 0.0000 6.7555
Bi 3.3766 0.0000 7.8990
Bi 10.1597 0.0000 2.2619
Pb 0.0000 0.0000 0.0000
Pb 4.1504 0.0000 4.5332
Pb 9.3858 0.0000 5.6278
```

As for the formation enthalpy at 0 K: -0.0052 eV per atom. As for the space group: C2/m (12). As for the total DFT energy (no corrections): -3.155 eV per atom. The density of states at the Fermi level is 3.62 states/eV per cell.

---

Tl2CoH | PBE | relaxed

Cell and atoms, written as extended XYZ:
```
4
Lattice="0.0000 3.2799 3.2799 3.2799 0.0000 3.2799 3.2799 3.2799 0.0000" Properties=species:S:1:pos:R:3 pbc="T T T"
Tl 1.6399 1.6399 1.6399
Tl 4.9198 4.9198 4.9198
Co 0.0000 0.0000 0.0000
H 3.2799 3.2799 3.2799
```

The distance to the lowest polymorph of the same formula comes out at 0.446 eV/f.u. As for the space group: Fm-3m (225). As for the total DFT energy (no corrections): -2.990 eV per atom. The density of states at the Fermi level is 4.78 states/eV per cell.

---

Ce3HoAl8 | PBE | relaxed

Cell and atoms, written as extended XYZ:
```
12
Lattice="2.8021 1.6178 9.1365 -2.8021 1.6178 9.1365 0.0000 -3.2355 9.1365" Properties=species:S:1:pos:R:3 pbc="T T T"
Ce 0.0000 0.0000 0.0000
Ce 0.0000 0.0000 3.3801
Ce 0.0000 0.0000 13.6150
Ho 0.0000 0.0000 17.0818
Al -1.4027 -0.8098 10.7798
Al 0.0000 -1.6235 6.2564
Al -1.4060 0.8117 6.2564
Al 0.0000 0.0000 8.5146
Al 1.4027 -0.8098 10.7798
Al 0.0000 1.6197 10.7798
Al 1.4060 0.8117 6.2563
Al 0.0000 0.0000 22.2369
```

As for the formation enthalpy at 0 K: -0.4663 eV per atom. The distance to the lowest polymorph of the same formula comes out at 0.000 eV/f.u. As for the space group: R3m (160). As for the total DFT energy (no corrections): -4.826 eV per atom. The density of states at the Fermi level is 17.77 states/eV per cell.

---

BaSr2ZnN | PBE | relaxed

Cell and atoms, written as extended XYZ:
```
5
Lattice="5.2245 0.0000 0.0000 0.0000 5.2245 0.0000 0.0000 0.0000 5.7628" Properties=species:S:1:pos:R:3 pbc="T T T"
Ba 0.0000 0.0000 0.0000
Sr 0.0000 2.6122 2.8814
Sr 2.6122 0.0000 2.8814
Zn 2.6122 2.6122 0.0000
N 0.0000 0.0000 2.8814
```

As for the space group: P4/mmm (123). As for the total DFT energy (no corrections): -3.244 eV per atom. For the uncorrected formation energy, the calculation gives -0.27 eV per atom. The density of states at the Fermi level is 4.17 states/eV per cell.

---

Rb6NbF12 | PBE | relaxed

Cell and atoms, written as extended XYZ:
```
19
Lattice="6.1008 3.5223 3.7512 -6.1008 3.5223 3.7512 0.0000 -7.0446 3.7512" Properties=species:S:1:pos:R:3 pbc="T T T"
Rb -3.3901 -3.2541 5.9047
Rb -4.5132 1.3089 5.3488
Rb 1.1231 -4.5630 5.3488
Rb -1.1231 4.5630 5.9047
Rb 4.5132 -1.3089 5.9047
Rb 3.3901 3.2541 5.3488
Nb 0.0000 0.0000 5.6268
F -1.4890 -4.8613 4.9350
F -4.9545 -1.1411 6.3185
F -1.5806 -0.2000 4.5130
F -3.4655 3.7202 4.9350
F 0.9635 -1.2688 4.5130
F -0.6170 -1.4688 6.7405
F 0.6171 1.4688 4.5130
F -0.9635 1.2688 6.7405
F 3.4655 -3.7202 6.3186
F 1.5806 0.2000 6.7405
F 4.9545 1.1411 4.9350
F 1.4890 4.8613 6.3185
```

As for the space group: R-3 (148). As for the total DFT energy (no corrections): -4.727 eV per atom. For the uncorrected formation energy, the calculation gives -2.71 eV per atom. The density of states at the Fermi level is 16.40 states/eV per cell.

---

K2PmGeO4 | PBE | relaxed

Cell and atoms, written as extended XYZ:
```
8
Lattice="-2.9515 2.9515 4.7076 2.9515 -2.9515 4.7076 2.9515 2.9515 -4.7076" Properties=species:S:1:pos:R:3 pbc="T T T"
K 0.0000 0.0000 0.0000
K 0.0000 2.9515 2.3538
Pm 0.0000 0.0000 4.7076
Ge 2.9515 0.0000 2.3538
O 1.6441 -0.7936 3.3913
O 2.1579 1.3074 1.3163
O 1.3074 3.7451 -1.3163
O 0.7936 1.6441 6.0240
```

As for the space group: I-4 (82). As for the total DFT energy (no corrections): -5.868 eV per atom. For the uncorrected formation energy, the calculation gives -1.94 eV per atom. The density of states at the Fermi level is 1.12 states/eV per cell.

---

CsTl2I2 | PBE | relaxed

Cell and atoms, written as extended XYZ:
```
5
Lattice="-3.2982 3.2982 5.5585 3.2982 -3.2982 5.5585 3.2982 3.2982 -5.5585" Properties=species:S:1:pos:R:3 pbc="T T T"
Cs 0.0000 0.0000 0.0000
Tl 0.0000 0.0000 3.8797
Tl 0.0000 0.0000 7.2373
I 3.2982 0.0000 2.7792
I 0.0000 3.2982 2.7792
```

The distance to the lowest polymorph of the same formula comes out at 0.552 eV/f.u. As for the space group: I4/mmm (139). As for the total DFT energy (no corrections): -2.395 eV per atom. For the uncorrected formation energy, the calculation gives -0.66 eV per atom. The density of states at the Fermi level is 3.99 states/eV per cell.

---

- Which formula does entry 7 have?
  K2PmGeO4